YC2: relaxed, GGA-PBE.

a b c (Å): 7.0328 7.0328 2.7735
angles (deg): 90.00 90.00 120.00
Closest atoms and distances in Å follow each position.
Atoms (fractional coordinates):
Y: 0.0000 0.0000 0.0000  9 C 2.46-2.69
Y: 0.3333 0.6667 0.5000  9 C 2.52-2.59, 2 Y 2.77
Y: 0.6667 0.3333 0.5000  9 C 2.52-2.59, 2 Y 2.77
C: 0.0000 0.2881 0.5000  2 C 1.54
C: 0.0000 0.3821 0.0000  2 C 1.54
C: 0.2881 0.0000 0.5000  2 C 1.54
C: 0.3821 0.0000 0.0000  2 C 1.54
C: 0.6179 0.6179 0.0000  2 C 1.54
C: 0.7119 0.7119 0.5000  2 C 1.54

## Properties
DFT total energy = -72.59 eV for the cell shown
energy relative to the elements = 0.2385 eV per atom
crystal system = hexagonal
DOS(E_F) = 2.89 states/eV/cell
ρ = 4.74 g cm⁻³
distance to the lowest polymorph of the same formula = 422 meV/atom


Y3C: relaxed, GGA-PBE.

a b c (Å): 3.5944 3.5944 27.4425
angles (deg): 90.00 90.00 120.00
Closest atoms and distances in Å follow each position.
Atoms (fractional coordinates):
Y: 0.0000 0.0000 0.0000  12 Y 3.59-3.83
Y: 0.0000 0.0000 0.2161  3 C 2.48
Y: 0.0000 0.0000 0.7839  3 C 2.48
Y: 0.3333 0.6667 0.4506  3 C 2.48
Y: 0.3333 0.6667 0.6667  12 Y 3.59-3.83
Y: 0.3333 0.6667 0.8827  3 C 2.48
Y: 0.6667 0.3333 0.1173  3 C 2.48
Y: 0.6667 0.3333 0.3333  12 Y 3.59-3.83
Y: 0.6667 0.3333 0.5494  3 C 2.48
C: 0.0000 0.0000 0.5000  6 Y 2.48
C: 0.3333 0.6667 0.1667  6 Y 2.48
C: 0.6667 0.3333 0.8333  6 Y 2.48

## Properties
DFT total energy = -87.76 eV for the cell shown
energy relative to the elements = -0.1590 eV per atom
crystal system = trigonal
DOS(E_F) = 11.27 states/eV/cell
ρ = 4.52 g cm⁻³
distance to the lowest polymorph of the same formula = 5 meV/atom


Y3C: relaxed, GGA-PBE.

a b c (Å): 3.2551 3.2551 8.8374
angles (deg): 90.00 90.00 90.00
Closest atoms and distances in Å follow each position.
Atoms (fractional coordinates):
Y: 0.0000 0.0000 0.0000  4 Y 3.26
Y: 0.5000 0.5000 0.3445  4 C 2.68, 1 Y 2.75
Y: 0.5000 0.5000 0.6555  4 C 2.68, 1 Y 2.75
C: 0.0000 0.0000 0.5000  8 Y 2.68

## Properties
DFT total energy = -27.55 eV for the cell shown
energy relative to the elements = 0.2671 eV per atom
crystal system = tetragonal
DOS(E_F) = 4.72 states/eV/cell
ρ = 4.94 g cm⁻³
distance to the lowest polymorph of the same formula = 431 meV/atom